Pr4Mg2O: relaxed, PBE-GGA.

Cell lengths 8.860, 8.860, 8.860 Å; angles 146.98, 146.98, 47.39 degrees
Element x y z (fractional)
Pr  0.000  0.500  0.500
Pr  0.158  0.158  0.000
Pr  0.500  0.000  0.500
Pr  0.842  0.842  0.000
Mg  0.365  0.365  0.000
Mg  0.635  0.635  0.000
O  0.000  0.000  0.000

Properties
DOS(E_F)	1.01	states/eV/atom
energy relative to the elements, uncorrected	-0.6914	eV per atom